[1]
Ba2NaH2 (SCAN, single point on PBEsol structure); crystal system = tetragonal; total moment = 0.025 μB per atom; total DFT energy (no corrections) = -18.42 eV per atom; energy above the most stable polymorph in this dataset = 0.000 eV per atom
1.0
-2.150 0.050 -3.874
-3.730 -1.226 2.054
1.073 8.168 2.043
H Na Ba
2 1 2
Cartesian
-2.008 3.815 -1.371
-2.798 3.177 1.593
0.000 0.000 0.000
-3.552 1.896 -0.539
-1.255 5.096 0.762

---

[2]
BaNaP3H6O12 (SCAN, single point on PBEsol structure); crystal system = triclinic; total moment = 0.004 μB per atom; total DFT energy (no corrections) = -9.45 eV per atom
1.0
7.033 -0.189 0.187
2.144 8.675 0.059
1.047 4.285 8.976
P H O Ba Na
6 12 24 2 2
Cartesian
4.160 10.218 7.520
6.063 2.553 1.702
6.981 4.203 3.896
3.243 8.568 5.325
5.162 5.297 1.950
5.061 7.474 7.272
3.992 5.227 4.599
7.717 7.824 5.074
6.149 4.650 9.079
8.173 12.075 8.064
2.506 4.947 4.148
6.535 11.398 6.943
4.074 8.121 0.142
2.050 0.696 1.158
6.232 7.544 4.623
4.402 9.764 3.072
3.689 1.373 2.278
5.821 3.007 6.149
5.693 5.122 3.488
2.715 1.592 2.282
7.132 7.705 4.275
4.902 11.519 7.510
7.508 11.179 6.940
3.053 9.978 8.499
2.002 8.055 6.009
3.977 6.865 8.100
5.321 1.252 1.711
6.247 5.906 1.122
6.430 6.901 7.213
7.171 2.793 0.723
3.577 8.827 0.618
4.530 7.649 5.733
6.567 2.794 3.223
3.091 5.066 4.947
3.252 8.719 3.844
8.222 4.716 3.212
3.656 9.977 5.999
5.276 9.045 7.678
3.793 5.870 2.008
6.971 4.052 5.378
4.947 3.726 1.544
6.647 3.944 8.604
1.619 5.545 7.174
8.604 7.227 2.048
2.306 3.672 1.185
7.918 9.099 8.037

---

[3]
BaNaH3Pd (SCAN, single point on PBEsol structure); crystal system = hexagonal; total moment = 0.000 μB per atom; total DFT energy (no corrections) = -14.99 eV per atom
1.0
-4.540 -2.956 -2.530
5.619 -1.115 -1.715
0.438 -4.288 4.222
H Ba Pd Na
6 2 2 2
Cartesian
0.283 -6.416 -0.078
-2.506 -5.863 0.773
1.769 -3.963 -2.053
1.234 -1.942 0.055
4.023 -2.496 -0.796
-0.252 -4.395 2.029
2.561 -4.944 1.180
-1.044 -3.414 -1.203
2.342 -2.800 -0.931
-0.825 -5.558 0.908
0.219 -2.144 2.111
0.000 0.000 0.000

---

[4]
BaNaH2Rh (SCAN, single point on PBEsol structure); crystal system = tetragonal; total moment = 0.000 μB per atom; total DFT energy (no corrections) = -16.57 eV per atom
1.0
-0.603 -2.316 -3.418
3.820 0.998 -1.350
1.806 -3.832 2.278
H Ba Rh Na
2 1 1 1
Cartesian
1.910 0.499 -0.675
-0.302 -1.158 -1.709
2.511 -2.575 -1.245
0.000 0.000 0.000
0.903 -1.916 1.139

---

[5]
BaNb2H (SCAN, single point on PBEsol structure); crystal system = cubic; total moment = 0.000 μB per atom; total DFT energy (no corrections) = -26.81 eV per atom
1.0
6.088 0.000 0.000
3.044 5.272 0.000
3.044 1.757 4.971
H Nb Ba
2 4 2
Cartesian
0.000 0.000 0.000
3.044 1.757 1.243
3.044 3.515 0.621
3.044 1.757 3.107
1.522 0.879 0.621
4.566 0.879 0.621
9.131 5.272 3.728
6.088 3.515 2.485

---

[6]
Ba2NbH (SCAN, single point on PBEsol structure); crystal system = cubic; total moment = 1.375 μB per atom; total DFT energy (no corrections) = -28.02 eV per atom
1.0
5.600 0.000 0.000
2.800 4.850 0.000
2.800 1.617 4.573
H Ba Nb
1 2 1
Cartesian
0.000 0.000 0.000
8.400 4.850 3.429
2.800 1.617 1.143
5.600 3.233 2.286

---

[7]
BaNiH3 (SCAN, single point on PBEsol structure); crystal system = cubic; total moment = 0.027 μB per atom; total DFT energy (no corrections) = -13.54 eV per atom
1.0
3.797 0.000 0.000
0.000 3.797 0.000
0.000 0.000 3.797
H Ba Ni
3 1 1
Cartesian
0.000 1.898 0.000
1.898 0.000 0.000
0.000 0.000 1.898
1.898 1.898 1.898
0.000 0.000 0.000

---

[8]
Ba2NiH (SCAN, single point on PBEsol structure); crystal system = cubic; total moment = 0.000 μB per atom; total DFT energy (no corrections) = -24.57 eV per atom
1.0
-2.457 -4.482 -0.501
2.645 -4.275 -1.051
0.534 -3.636 3.587
Ba H Ni
2 1 1
Cartesian
0.541 -9.295 1.527
0.180 -3.098 0.509
0.000 0.000 0.000
0.360 -6.197 1.018